Entry from Alexandria: a crystal of KHgIr relaxed with PBEsol (SCAN).

Calculated values
- energy relative to the lowest polymorph listed for this composition (kJ per mole of atoms) = 37.3
- energy (eV per atom) = -48.308
- spin magnetization (μB/f.u.) = 0.00
- calculated formation energy (eV per formula unit) = 2.67

Structure (POSCAR):
```
KHgIr
1.0
0.000 3.322 3.322
3.322 0.000 3.322
3.322 3.322 0.000
K Hg Ir
1 1 1
direct
0.000 0.000 0.000
0.500 0.500 0.500
0.250 0.250 0.250
```